(1)
# La7NiRh4

A relaxed La7NiRh4 crystal (PBE, the Alexandria database).

Calculated values
- Calculated density: 7.17 g cm⁻³
- ΔH_f (0 K): -0.59 eV/atom
- DOS at the Fermi energy: 7.751 states/eV/f.u.
- E: -6.398 eV per atom

abc: 7.1232 7.1232 12.4840
angles: 104.50 104.50 33.15
Last column: nearest neighbours and their distance in Å.
Fractional coordinates of all 12 atoms:
La1 0.0000 0.0000 0.0000  1 Ni 2.89, 2 Rh 2.91
La2 0.2208 0.2208 0.8556  4 Rh 2.89-2.94
La3 0.3020 0.3020 0.4259  3 Rh 2.86-2.88, 1 Ni 2.93
La4 0.5222 0.5222 0.2801  1 Rh 2.86, 2 Ni 2.89
La5 0.6052 0.6052 0.5863  5 Rh 2.89-3.20
La6 0.7625 0.7625 0.1451  2 Ni 2.86, 2 Rh 2.86
La7 0.9170 0.9170 0.6930  4 Rh 2.89-3.04
Ni1 0.1455 0.1455 0.2147  6 La 2.86-2.93
Rh1 0.2613 0.2613 0.6394  6 La 2.86-2.89
Rh2 0.3762 0.3762 0.0691  6 La 2.86-2.94
Rh3 0.5652 0.5652 0.8275  5 La 2.89-3.20
Rh4 0.9551 0.9551 0.4465  6 La 2.88-3.21

=====

(2)
# LaNi2Rh

A relaxed LaNi2Rh crystal (PBE, the Alexandria database).

Calculated values
- Calculated density: 8.97 g cm⁻³
- ΔH_f (0 K): -0.07 eV/atom
- Excess energy over the best structure of this formula in the dataset: 315 meV per atom
- DOS at the Fermi energy: 0.967 states/eV/f.u.
- E: -6.034 eV per atom

abc: 6.4300 6.4300 6.4300
angles: 90.00 90.00 90.00
Last column: nearest neighbours and their distance in Å.
Fractional coordinates of all 16 atoms:
La1 0.0000 0.0000 0.0000  4 Ni 2.78, 4 Rh 2.78
La2 0.0000 0.5000 0.5000  4 Ni 2.78, 4 Rh 2.78
La3 0.5000 0.0000 0.5000  4 Ni 2.78, 4 Rh 2.78
La4 0.5000 0.5000 0.0000  4 Ni 2.78, 4 Rh 2.78
Ni1 0.0000 0.0000 0.5000  4 Rh 2.78, 4 Ni 2.78
Ni2 0.0000 0.5000 0.0000  4 Ni 2.78, 4 Rh 2.78
Ni3 0.2500 0.2500 0.7500  4 La 2.78, 4 Ni 2.78
Ni4 0.2500 0.7500 0.2500  4 La 2.78, 4 Ni 2.78
Ni5 0.5000 0.0000 0.0000  4 Ni 2.78, 4 Rh 2.78
Ni6 0.5000 0.5000 0.5000  4 Ni 2.78, 4 Rh 2.78
Ni7 0.7500 0.2500 0.2500  4 La 2.78, 4 Ni 2.78
Ni8 0.7500 0.7500 0.7500  4 La 2.78, 4 Ni 2.78
Rh1 0.2500 0.2500 0.2500  4 La 2.78, 4 Ni 2.78
Rh2 0.2500 0.7500 0.7500  4 La 2.78, 4 Ni 2.78
Rh3 0.7500 0.2500 0.7500  4 La 2.78, 4 Ni 2.78
Rh4 0.7500 0.7500 0.2500  4 La 2.78, 4 Ni 2.78

=====

(3)
# LaNi2Rh

A relaxed LaNi2Rh crystal (PBE, the Alexandria database).

Calculated values
- Calculated density: 9.11 g cm⁻³
- ΔH_f (0 K): -0.18 eV/atom
- Excess energy over the best structure of this formula in the dataset: 213 meV per atom
- DOS at the Fermi energy: 5.230 states/eV/f.u.
- E: -6.137 eV per atom

abc: 4.0583 4.0583 3.9767
angles: 90.00 90.00 90.00
Last column: nearest neighbours and their distance in Å.
Fractional coordinates of all 4 atoms:
La1 0.0000 0.0000 0.0000  8 Ni 2.84, 4 Rh 2.87
Ni1 0.0000 0.5000 0.5000  4 Rh 2.84, 4 La 2.84, 4 Ni 2.87
Ni2 0.5000 0.0000 0.5000  4 Rh 2.84, 4 La 2.84, 4 Ni 2.87
Rh1 0.5000 0.5000 0.0000  8 Ni 2.84, 4 La 2.87